[1]
{"formula": "SmErPS", "functional": "PBE-GGA", "state": "relaxed", "energy_ev_per_atom": -6.56, "rho_g_cm3": 7.01, "total_magnetization_mub_per_cell": 0.0, "lattice_angstrom": [[1.993, 1.151, 6.553], [-1.993, 1.151, 6.553], [0.000, -2.301, 6.553]], "species": ["Sm", "Er", "P", "S"], "frac_coords": [[0.000, 0.000, 0.000], [0.506, 0.506, 0.506], [0.250, 0.250, 0.250], [0.756, 0.756, 0.756]]}



[2]
{"formula": "Er6SnP3S2", "functional": "PBE-GGA", "state": "relaxed", "energy_ev_per_atom": -6.23, "rho_g_cm3": 7.78, "total_magnetization_mub_per_cell": 0.0, "lattice_angstrom": [[8.750, -1.977, 0.000], [8.750, 1.977, 0.000], [-1.880, 0.000, 7.897]], "species": ["Er", "Er", "Er", "Er", "Er", "Er", "Sn", "P", "P", "P", "S", "S"], "frac_coords": [[0.000, 0.000, 0.230], [0.000, 0.000, 0.770], [0.326, 0.326, 0.418], [0.335, 0.335, 0.910], [0.665, 0.665, 0.090], [0.674, 0.674, 0.582], [0.500, 0.500, 0.500], [0.167, 0.167, 0.331], [0.500, 0.500, 0.000], [0.833, 0.833, 0.669], [0.170, 0.170, 0.840], [0.830, 0.830, 0.160]]}



[3]
{"formula": "Er8Te3P3S", "functional": "PBE-GGA", "state": "relaxed", "energy_ev_per_atom": -5.84, "rho_g_cm3": 7.91, "total_magnetization_mub_per_cell": 0.0, "lattice_angstrom": [[4.021, 2.322, 6.913], [-4.021, 2.322, 6.913], [0.000, -4.643, 6.913]], "species": ["Er", "Er", "Er", "Er", "Er", "Er", "Er", "Er", "Te", "Te", "Te", "P", "P", "P", "S"], "frac_coords": [[0.232, 0.741, 0.741], [0.235, 0.235, 0.235], [0.259, 0.259, 0.768], [0.259, 0.768, 0.259], [0.741, 0.232, 0.741], [0.741, 0.741, 0.232], [0.765, 0.765, 0.765], [0.768, 0.259, 0.259], [0.000, 0.500, 0.500], [0.500, 0.000, 0.500], [0.500, 0.500, 0.000], [0.000, 0.000, 0.500], [0.000, 0.500, 0.000], [0.500, 0.000, 0.000], [0.500, 0.500, 0.500]]}